1.
An optimized crystal structure of NbCr3Ir. Source: Alexandria via LeMat-Bulk, functional PBE-GGA.

Calculated values
Calculated formation energy (eV per formula unit): 9.6
Energy relative to the lowest polymorph listed for this composition (meV/atom): 581

Cell and atoms, written as CIF:
```
data_NbCr3Ir
_space_group_name_H-M_alt 'P m -3 m'
_space_group_IT_number 221
_space_group_name_Hall '-P 4 2 3'
_cell_length_a 4.380
_cell_length_b 4.380
_cell_length_c 4.380
_cell_angle_alpha 90.00
_cell_angle_beta 90.00
_cell_angle_gamma 90.00
loop_
_atom_site_label
_atom_site_fract_x
_atom_site_fract_y
_atom_site_fract_z
Nb1 0.000 0.000 0.000
Cr1 0.000 0.000 0.500
Ir1 0.500 0.500 0.500
```

=====

2.
An optimized crystal structure of Nb2CrIr. Source: Alexandria via LeMat-Bulk, functional PBE-GGA.

Calculated values
Calculated formation energy (eV per formula unit): -0.7
Energy relative to the lowest polymorph listed for this composition (meV/atom): 29

Cell and atoms, written as CIF:
```
data_Nb2CrIr
_space_group_name_H-M_alt 'F m -3 m'
_space_group_IT_number 225
_space_group_name_Hall '-F 4 2 3'
_cell_length_a 6.321
_cell_length_b 6.321
_cell_length_c 6.321
_cell_angle_alpha 90.00
_cell_angle_beta 90.00
_cell_angle_gamma 90.00
loop_
_atom_site_label
_atom_site_fract_x
_atom_site_fract_y
_atom_site_fract_z
Nb1 0.250 0.250 0.250
Cr1 0.000 0.000 0.000
Ir1 0.000 0.000 0.500
```

=====

3.
An optimized crystal structure of Nb2CrIr5Os. Source: Alexandria via LeMat-Bulk, functional PBE-GGA.

Calculated values
Calculated formation energy (eV per formula unit): 4.5

Cell and atoms, written as CIF:
```
data_Nb2CrIr5Os
_space_group_name_H-M_alt 'I 4/m c m'
_space_group_IT_number 140
_space_group_name_Hall '-I 4 2c'
_cell_length_a 7.560
_cell_length_b 7.560
_cell_length_c 10.786
_cell_angle_alpha 90.00
_cell_angle_beta 90.00
_cell_angle_gamma 90.00
loop_
_atom_site_label
_atom_site_fract_x
_atom_site_fract_y
_atom_site_fract_z
Nb1 0.115 0.385 0.000
Cr1 0.000 0.000 0.250
Ir1 0.000 0.000 0.000
Ir2 0.193 0.307 0.371
Os1 0.000 0.500 0.250
```

=====

4.
An optimized crystal structure of NbCr2IrPt. Source: Alexandria via LeMat-Bulk, functional PBE-GGA.

Calculated values
Calculated formation energy (eV per formula unit): 6.9

Cell and atoms, written as CIF:
```
data_NbCr2IrPt
_space_group_name_H-M_alt 'P 4/m m m'
_space_group_IT_number 123
_space_group_name_Hall '-P 4 2'
_cell_length_a 4.666
_cell_length_b 4.666
_cell_length_c 4.832
_cell_angle_alpha 90.00
_cell_angle_beta 90.00
_cell_angle_gamma 90.00
loop_
_atom_site_label
_atom_site_fract_x
_atom_site_fract_y
_atom_site_fract_z
Nb1 0.000 0.000 0.000
Cr1 0.000 0.500 0.500
Ir1 0.500 0.500 0.000
Pt1 0.000 0.000 0.500
```

=====

5.
An optimized crystal structure of NbCrIrPt2. Source: Alexandria via LeMat-Bulk, functional PBE-GGA.

Calculated values
Calculated formation energy (eV per formula unit): 8.0

Cell and atoms, written as CIF:
```
data_NbCrIrPt2
_space_group_name_H-M_alt 'P 4/m m m'
_space_group_IT_number 123
_space_group_name_Hall '-P 4 2'
_cell_length_a 4.875
_cell_length_b 4.875
_cell_length_c 4.648
_cell_angle_alpha 90.00
_cell_angle_beta 90.00
_cell_angle_gamma 90.00
loop_
_atom_site_label
_atom_site_fract_x
_atom_site_fract_y
_atom_site_fract_z
Nb1 0.000 0.000 0.000
Cr1 0.500 0.500 0.000
Ir1 0.000 0.000 0.500
Pt1 0.000 0.500 0.500
```

=====

6.
An optimized crystal structure of Nb2CrIr5Ru. Source: Alexandria via LeMat-Bulk, functional PBE-GGA.

Calculated values
Calculated formation energy (eV per formula unit): 4.2

Cell and atoms, written as CIF:
```
data_Nb2CrIr5Ru
_space_group_name_H-M_alt 'I 4/m c m'
_space_group_IT_number 140
_space_group_name_Hall '-I 4 2c'
_cell_length_a 7.529
_cell_length_b 7.529
_cell_length_c 10.765
_cell_angle_alpha 90.00
_cell_angle_beta 90.00
_cell_angle_gamma 90.00
loop_
_atom_site_label
_atom_site_fract_x
_atom_site_fract_y
_atom_site_fract_z
Nb1 0.116 0.384 0.000
Cr1 0.000 0.000 0.250
Ir1 0.000 0.000 0.000
Ir2 0.195 0.305 0.370
Ru1 0.000 0.500 0.250
```

=====

7.
An optimized crystal structure of NbCrIrS2. Source: Alexandria via LeMat-Bulk, functional PBE-GGA.

Calculated values
Raw formation energy (eV per formula unit): 3.07

Cell and atoms, written as CIF:
```
data_NbCrIrS2
_space_group_name_H-M_alt 'P 4/m m m'
_space_group_IT_number 123
_space_group_name_Hall '-P 4 2'
_cell_length_a 4.365
_cell_length_b 4.365
_cell_length_c 4.609
_cell_angle_alpha 90.00
_cell_angle_beta 90.00
_cell_angle_gamma 90.00
loop_
_atom_site_label
_atom_site_fract_x
_atom_site_fract_y
_atom_site_fract_z
Nb1 0.000 0.000 0.000
Cr1 0.500 0.500 0.500
Ir1 0.500 0.500 0.000
S1 0.000 0.500 0.500
```

=====

8.
An optimized crystal structure of ScNbCrIr. Source: Alexandria via LeMat-Bulk, functional PBE-GGA.

Calculated values
Calculated formation energy (eV per formula unit): -1.2

Cell and atoms, written as CIF:
```
data_ScNbCrIr
_space_group_name_H-M_alt 'F -4 3 m'
_space_group_IT_number 216
_space_group_name_Hall 'F -4 2 3'
_cell_length_a 6.360
_cell_length_b 6.360
_cell_length_c 6.360
_cell_angle_alpha 90.00
_cell_angle_beta 90.00
_cell_angle_gamma 90.00
loop_
_atom_site_label
_atom_site_fract_x
_atom_site_fract_y
_atom_site_fract_z
Sc1 0.000 0.000 0.000
Nb1 0.000 0.000 0.500
Cr1 0.250 0.250 0.750
Ir1 0.250 0.250 0.250
```